# 1
# HgWBr2 (PBE, relaxed)
data_HgWBr2
_cell_length_a 4.113
_cell_length_b 4.113
_cell_length_c 13.062
_cell_angle_alpha 90.00
_cell_angle_beta 90.00
_cell_angle_gamma 90.00
_space_group_name_H-M_alt 'P 1'
_space_group_IT_number 1
loop_
_space_group_symop_operation_xyz
'x,y,z'
loop_
_atom_site_label
_atom_site_type_symbol
_atom_site_fract_x
_atom_site_fract_y
_atom_site_fract_z
_atom_site_occupancy
Hg1 Hg 0.000 0.000 0.000 1
Hg2 Hg 0.500 0.500 0.500 1
W1 W 0.000 0.500 0.750 1
W2 W 0.500 0.000 0.250 1
Br1 Br 0.000 0.000 0.500 1
Br2 Br 0.000 0.500 0.250 1
Br3 Br 0.500 0.000 0.750 1
Br4 Br 0.500 0.500 0.000 1
# Final energy, eV per atom: -3.044
# Formation energy without anion corrections, eV/atom: 1.11
# Mass density, Mg/m³: 8.180
# Energy above the most stable polymorph in this dataset, eV per formula unit: 3.60


# 2
# HgW2Br (PBE, relaxed)
data_HgW2Br
_cell_length_a 3.209
_cell_length_b 5.113
_cell_length_c 10.296
_cell_angle_alpha 90.00
_cell_angle_beta 90.00
_cell_angle_gamma 90.00
_space_group_name_H-M_alt 'P 1'
_space_group_IT_number 1
loop_
_space_group_symop_operation_xyz
'x,y,z'
loop_
_atom_site_label
_atom_site_type_symbol
_atom_site_fract_x
_atom_site_fract_y
_atom_site_fract_z
_atom_site_occupancy
Hg1 Hg 0.000 0.000 0.000 1
Hg2 Hg 0.500 0.500 0.000 1
W1 W 0.000 0.000 0.440 1
W2 W 0.000 0.500 0.251 1
W3 W 0.500 0.000 0.251 1
W4 W 0.500 0.500 0.440 1
Br1 Br 0.000 0.500 0.659 1
Br2 Br 0.500 0.000 0.659 1
# Final energy, eV per atom: -6.384
# Formation energy without anion corrections, eV/atom: 0.59
# Mass density, Mg/m³: 12.743
# Energy above the most stable polymorph in this dataset, eV per formula unit: 0.78


# 3
# HgW2Br (PBE, relaxed)
data_HgW2Br
_cell_length_a 3.499
_cell_length_b 3.499
_cell_length_c 6.811
_cell_angle_alpha 90.00
_cell_angle_beta 90.00
_cell_angle_gamma 90.00
_space_group_name_H-M_alt 'P 1'
_space_group_IT_number 1
loop_
_space_group_symop_operation_xyz
'x,y,z'
loop_
_atom_site_label
_atom_site_type_symbol
_atom_site_fract_x
_atom_site_fract_y
_atom_site_fract_z
_atom_site_occupancy
Hg1 Hg 0.000 0.000 0.000 1
W1 W 0.500 0.500 0.182 1
W2 W 0.500 0.500 0.818 1
Br1 Br 0.000 0.000 0.500 1
# Final energy, eV per atom: -5.604
# Formation energy without anion corrections, eV/atom: 1.37
# Mass density, Mg/m³: 12.910
# Energy above the most stable polymorph in this dataset, eV per formula unit: 3.90


# 4
# HgWBr2 (PBE, relaxed)
data_HgWBr2
_cell_length_a 8.834
_cell_length_b 8.834
_cell_length_c 5.728
_cell_angle_alpha 90.00
_cell_angle_beta 90.00
_cell_angle_gamma 90.00
_space_group_name_H-M_alt 'P 1'
_space_group_IT_number 1
loop_
_space_group_symop_operation_xyz
'x,y,z'
loop_
_atom_site_label
_atom_site_type_symbol
_atom_site_fract_x
_atom_site_fract_y
_atom_site_fract_z
_atom_site_occupancy
Hg1 Hg 0.000 0.000 0.000 1
Hg2 Hg 0.000 0.500 0.250 1
Hg3 Hg 0.500 0.000 0.750 1
Hg4 Hg 0.500 0.500 0.500 1
W1 W 0.000 0.000 0.500 1
W2 W 0.000 0.500 0.750 1
W3 W 0.500 0.000 0.250 1
W4 W 0.500 0.500 0.000 1
Br1 Br 0.115 0.250 0.625 1
Br2 Br 0.250 0.615 0.875 1
Br3 Br 0.250 0.885 0.375 1
Br4 Br 0.385 0.250 0.125 1
Br5 Br 0.615 0.750 0.125 1
Br6 Br 0.750 0.115 0.375 1
Br7 Br 0.750 0.385 0.875 1
Br8 Br 0.885 0.750 0.625 1
# Final energy, eV per atom: -3.694
# Formation energy without anion corrections, eV/atom: 0.46
# Mass density, Mg/m³: 8.086
# Energy above the most stable polymorph in this dataset, eV per formula unit: 1.00


# 5
# HgWBr (PBE, relaxed)
data_HgWBr
_cell_length_a 6.456
_cell_length_b 6.456
_cell_length_c 6.456
_cell_angle_alpha 90.00
_cell_angle_beta 90.00
_cell_angle_gamma 90.00
_space_group_name_H-M_alt 'P 1'
_space_group_IT_number 1
loop_
_space_group_symop_operation_xyz
'x,y,z'
loop_
_atom_site_label
_atom_site_type_symbol
_atom_site_fract_x
_atom_site_fract_y
_atom_site_fract_z
_atom_site_occupancy
Hg1 Hg 0.000 0.000 0.000 1
Hg2 Hg 0.000 0.500 0.500 1
Hg3 Hg 0.500 0.000 0.500 1
Hg4 Hg 0.500 0.500 0.000 1
W1 W 0.250 0.250 0.750 1
W2 W 0.250 0.750 0.250 1
W3 W 0.750 0.250 0.250 1
W4 W 0.750 0.750 0.750 1
Br1 Br 0.000 0.000 0.500 1
Br2 Br 0.000 0.500 0.000 1
Br3 Br 0.500 0.000 0.000 1
Br4 Br 0.500 0.500 0.500 1
# Final energy, eV per atom: -3.575
# Formation energy without anion corrections, eV/atom: 1.40
# Mass density, Mg/m³: 11.463
# Energy above the most stable polymorph in this dataset, eV per formula unit: 2.42


# 6
# HgW2Br (PBE, relaxed)
data_HgW2Br
_cell_length_a 5.678
_cell_length_b 9.148
_cell_length_c 2.880
_cell_angle_alpha 90.00
_cell_angle_beta 90.00
_cell_angle_gamma 90.00
_space_group_name_H-M_alt 'P 1'
_space_group_IT_number 1
loop_
_space_group_symop_operation_xyz
'x,y,z'
loop_
_atom_site_label
_atom_site_type_symbol
_atom_site_fract_x
_atom_site_fract_y
_atom_site_fract_z
_atom_site_occupancy
Hg1 Hg 0.000 0.000 0.000 1
Hg2 Hg 0.500 0.500 0.000 1
W1 W 0.250 0.250 0.500 1
W2 W 0.250 0.750 0.500 1
W3 W 0.750 0.250 0.500 1
W4 W 0.750 0.750 0.500 1
Br1 Br 0.000 0.500 0.000 1
Br2 Br 0.500 0.000 0.000 1
# Final energy, eV per atom: -5.466
# Formation energy without anion corrections, eV/atom: 1.50
# Mass density, Mg/m³: 14.389
# Energy above the most stable polymorph in this dataset, eV per formula unit: 4.45


# 7
# HgWBr4 (PBE, relaxed)
data_HgWBr4
_cell_length_a 6.222
_cell_length_b 6.222
_cell_length_c 6.222
_cell_angle_alpha 60.00
_cell_angle_beta 60.00
_cell_angle_gamma 60.00
_space_group_name_H-M_alt 'P 1'
_space_group_IT_number 1
loop_
_space_group_symop_operation_xyz
'x,y,z'
loop_
_atom_site_label
_atom_site_type_symbol
_atom_site_fract_x
_atom_site_fract_y
_atom_site_fract_z
_atom_site_occupancy
Hg1 Hg 0.000 0.000 0.000 1
W1 W 0.750 0.750 0.750 1
Br1 Br 0.376 0.376 0.376 1
Br2 Br 0.376 0.376 0.871 1
Br3 Br 0.376 0.871 0.376 1
Br4 Br 0.871 0.376 0.376 1
# Final energy, eV per atom: -1.966
# Formation energy without anion corrections, eV/atom: 1.36
# Mass density, Mg/m³: 6.862


# 8
# HgWBr (PBE, relaxed)
data_HgWBr
_cell_length_a 3.092
_cell_length_b 3.092
_cell_length_c 13.649
_cell_angle_alpha 90.00
_cell_angle_beta 90.00
_cell_angle_gamma 90.00
_space_group_name_H-M_alt 'P 1'
_space_group_IT_number 1
loop_
_space_group_symop_operation_xyz
'x,y,z'
loop_
_atom_site_label
_atom_site_type_symbol
_atom_site_fract_x
_atom_site_fract_y
_atom_site_fract_z
_atom_site_occupancy
Hg1 Hg 0.000 0.000 0.000 1
Hg2 Hg 0.500 0.500 0.500 1
W1 W 0.000 0.000 0.645 1
W2 W 0.500 0.500 0.145 1
Br1 Br 0.000 0.000 0.260 1
Br2 Br 0.500 0.500 0.760 1
# Final energy, eV per atom: -4.143
# Formation energy without anion corrections, eV/atom: 0.83
# Mass density, Mg/m³: 11.815
# Energy above the most stable polymorph in this dataset, eV per formula unit: 0.72


# 9
# HgW2Br (PBE, relaxed)
data_HgW2Br
_cell_length_a 3.319
_cell_length_b 3.319
_cell_length_c 27.447
_cell_angle_alpha 90.00
_cell_angle_beta 90.00
_cell_angle_gamma 120.00
_space_group_name_H-M_alt 'P 1'
_space_group_IT_number 1
loop_
_space_group_symop_operation_xyz
'x,y,z'
loop_
_atom_site_label
_atom_site_type_symbol
_atom_site_fract_x
_atom_site_fract_y
_atom_site_fract_z
_atom_site_occupancy
Hg1 Hg 0.000 0.000 0.000 1
Hg2 Hg 0.333 0.667 0.667 1
Hg3 Hg 0.667 0.333 0.333 1
W1 W 0.000 0.000 0.246 1
W2 W 0.000 0.000 0.520 1
W3 W 0.333 0.667 0.186 1
W4 W 0.333 0.667 0.913 1
W5 W 0.667 0.333 0.579 1
W6 W 0.667 0.333 0.853 1
Br1 Br 0.000 0.000 0.778 1
Br2 Br 0.333 0.667 0.444 1
Br3 Br 0.667 0.333 0.111 1
# Final energy, eV per atom: -6.578
# Formation energy without anion corrections, eV/atom: 0.39
# Mass density, Mg/m³: 12.331
# Energy above the most stable polymorph in this dataset, eV per formula unit: 0.00


# 10
# HgWBr (PBE, relaxed)
data_HgWBr
_cell_length_a 7.048
_cell_length_b 7.048
_cell_length_c 7.048
_cell_angle_alpha 90.00
_cell_angle_beta 90.00
_cell_angle_gamma 90.00
_space_group_name_H-M_alt 'P 1'
_space_group_IT_number 1
loop_
_space_group_symop_operation_xyz
'x,y,z'
loop_
_atom_site_label
_atom_site_type_symbol
_atom_site_fract_x
_atom_site_fract_y
_atom_site_fract_z
_atom_site_occupancy
Hg1 Hg 0.000 0.000 0.000 1
Hg2 Hg 0.000 0.500 0.500 1
Hg3 Hg 0.500 0.000 0.500 1
Hg4 Hg 0.500 0.500 0.000 1
W1 W 0.250 0.250 0.250 1
W2 W 0.250 0.750 0.750 1
W3 W 0.750 0.250 0.750 1
W4 W 0.750 0.750 0.250 1
Br1 Br 0.250 0.250 0.750 1
Br2 Br 0.250 0.750 0.250 1
Br3 Br 0.750 0.250 0.250 1
Br4 Br 0.750 0.750 0.750 1
# Final energy, eV per atom: -3.127
# Formation energy without anion corrections, eV/atom: 1.85
# Mass density, Mg/m³: 8.810
# Energy above the most stable polymorph in this dataset, eV per formula unit: 3.77


# 11
# HgW2Br (PBE, relaxed)
data_HgW2Br
_cell_length_a 4.534
_cell_length_b 4.534
_cell_length_c 7.247
_cell_angle_alpha 90.00
_cell_angle_beta 90.00
_cell_angle_gamma 90.00
_space_group_name_H-M_alt 'P 1'
_space_group_IT_number 1
loop_
_space_group_symop_operation_xyz
'x,y,z'
loop_
_atom_site_label
_atom_site_type_symbol
_atom_site_fract_x
_atom_site_fract_y
_atom_site_fract_z
_atom_site_occupancy
Hg1 Hg 0.000 0.000 0.000 1
Hg2 Hg 0.500 0.500 0.500 1
W1 W 0.000 0.000 0.500 1
W2 W 0.000 0.500 0.750 1
W3 W 0.500 0.000 0.250 1
W4 W 0.500 0.500 0.000 1
Br1 Br 0.000 0.500 0.250 1
Br2 Br 0.500 0.000 0.750 1
# Final energy, eV per atom: -5.618
# Formation energy without anion corrections, eV/atom: 1.35
# Mass density, Mg/m³: 14.448
# Energy above the most stable polymorph in this dataset, eV per formula unit: 3.84


# 12
# HgW2Br (PBE, relaxed)
data_HgW2Br
_cell_length_a 3.203
_cell_length_b 3.203
_cell_length_c 8.392
_cell_angle_alpha 90.00
_cell_angle_beta 90.00
_cell_angle_gamma 90.00
_space_group_name_H-M_alt 'P 1'
_space_group_IT_number 1
loop_
_space_group_symop_operation_xyz
'x,y,z'
loop_
_atom_site_label
_atom_site_type_symbol
_atom_site_fract_x
_atom_site_fract_y
_atom_site_fract_z
_atom_site_occupancy
Hg1 Hg 0.000 0.000 0.000 1
W1 W 0.000 0.000 0.403 1
W2 W 0.500 0.500 0.242 1
Br1 Br 0.500 0.500 0.636 1
# Final energy, eV per atom: -6.355
# Formation energy without anion corrections, eV/atom: 0.62
# Mass density, Mg/m³: 12.503
# Energy above the most stable polymorph in this dataset, eV per formula unit: 0.90